1.
This record from OQMD describes an optimized crystal structure of ZrFePd2. The functional is PBE.

Output
Energy of formation from the pure elements: -0.2841 eV per atom

Cell lengths 4.4890, 4.4890, 4.4890 Å; angles 60.00, 60.00, 60.00 degrees
Atoms (fractional coordinates):
1 Zr 0.0000 0.0000 0.0000
2 Fe 0.2500 0.2500 0.2500
3 Pd 0.5000 0.5000 0.5000
4 Pd 0.7500 0.7500 0.7500

=====

2.
This record from OQMD describes an optimized crystal structure of PmFe. The functional is PBE.

Output
Energy of formation from the pure elements: 1.0576 eV per atom

Cell lengths 4.6060, 4.6060, 5.5721 Å; angles 90.00, 90.00, 120.00 degrees
Atoms (fractional coordinates):
1 Pm 0.3333 0.6667 0.2500
2 Pm 0.6667 0.3333 0.7500
3 Fe 0.3333 0.6667 0.7500
4 Fe 0.6667 0.3333 0.2500

=====

3.
This record from OQMD describes an optimized crystal structure of PmFe. The functional is PBE.

Output
Energy of formation from the pure elements: 0.6068 eV per atom

Cell lengths 4.0536, 4.0536, 4.0536 Å; angles 60.00, 60.00, 60.00 degrees
Atoms (fractional coordinates):
1 Pm 0.0000 0.0000 0.0000
2 Fe 0.5000 0.5000 0.5000

=====

4.
This record from OQMD describes an optimized crystal structure of PmFe. The functional is PBE.

Output
Energy of formation from the pure elements: 1.3771 eV per atom

Cell lengths 4.3429, 4.3429, 4.3429 Å; angles 60.00, 60.00, 60.00 degrees
Atoms (fractional coordinates):
1 Pm 0.0000 0.0000 0.0000
2 Fe 0.2500 0.2500 0.2500

=====

5.
This record from OQMD describes an optimized crystal structure of Pm2Fe. The functional is PBE.

Output
Distance to the lowest polymorph of the same formula: 0.96 eV per formula unit
Energy of formation from the pure elements: 1.4269 eV per atom

Cell lengths 6.0090, 6.0090, 6.0090 Å; angles 60.00, 60.00, 60.00 degrees
Atoms (fractional coordinates):
1 Pm 0.0000 0.0000 0.0000
2 Pm 0.0000 0.0000 0.5000
3 Pm 0.0000 0.5000 0.0000
4 Pm 0.5000 0.0000 0.0000
5 Fe 0.3750 0.3750 0.3750
6 Fe 0.6250 0.6250 0.6250

=====

6.
This record from OQMD describes an optimized crystal structure of Pm2Fe. The functional is PBE.

Output
Distance to the lowest polymorph of the same formula: 0.00 eV per formula unit
Energy of formation from the pure elements: 1.1068 eV per atom

Cell lengths 7.9518, 7.9518, 7.9518 Å; angles 60.00, 60.00, 60.00 degrees
Atoms (fractional coordinates):
1 Pm 0.0000 0.0000 0.0000
2 Pm 0.0000 0.0000 0.5000
3 Pm 0.0000 0.5000 0.0000
4 Pm 0.5000 0.0000 0.0000
5 Fe 0.1250 0.1250 0.1250
6 Fe 0.8750 0.8750 0.8750

=====

7.
This record from OQMD describes an optimized crystal structure of PmFe3. The functional is PBE.

Output
Energy of formation from the pure elements: 0.4395 eV per atom

Cell lengths 5.0958, 5.0958, 5.0958 Å; angles 135.64, 135.64, 64.54 degrees
Atoms (fractional coordinates):
1 Pm 0.0000 0.0000 0.0000
2 Fe 0.2500 0.7500 0.5000
3 Fe 0.5000 0.5000 0.0000
4 Fe 0.7500 0.2500 0.5000

=====

8.
This record from OQMD describes an optimized crystal structure of PmFe. The functional is PBE.

Output
Energy of formation from the pure elements: 0.6250 eV per atom

Cell lengths 3.4105, 3.4105, 4.3069 Å; angles 90.00, 90.00, 120.00 degrees
Atoms (fractional coordinates):
1 Pm 0.0000 0.0000 0.0000
2 Fe 0.3333 0.6667 0.5000

=====

9.
This record from OQMD describes an optimized crystal structure of PmFe3. The functional is PBE.

Output
Energy of formation from the pure elements: 0.4642 eV per atom

Cell lengths 3.9869, 3.9869, 3.9869 Å; angles 90.00, 90.00, 90.00 degrees
Atoms (fractional coordinates):
1 Pm 0.0000 0.0000 0.0000
2 Fe 0.0000 0.5000 0.5000
3 Fe 0.5000 0.0000 0.5000
4 Fe 0.5000 0.5000 0.0000

=====

10.
This record from OQMD describes an optimized crystal structure of PmFeSb. The functional is PBE.

Output
Raw total energy: -5.78 eV/atom

Cell lengths 4.8081, 4.8081, 4.8081 Å; angles 60.00, 60.00, 60.00 degrees
Atoms (fractional coordinates):
1 Pm 0.0000 0.0000 0.0000
2 Fe 0.5000 0.5000 0.5000
3 Sb 0.7500 0.7500 0.7500

=====

11.
This record from OQMD describes an optimized crystal structure of PmFeSi2. The functional is PBE.

Output
Raw total energy: -6.64 eV/atom

Cell lengths 6.8626, 3.9973, 9.9053 Å; angles 90.00, 90.00, 90.00 degrees
Atoms (fractional coordinates):
1 Pm 0.1568 0.2500 0.1224
2 Pm 0.3432 0.7500 0.6224
3 Pm 0.6568 0.2500 0.3776
4 Pm 0.8432 0.7500 0.8776
5 Fe 0.0123 0.7500 0.3891
6 Fe 0.4877 0.2500 0.8891
7 Fe 0.5123 0.7500 0.1109
8 Fe 0.9877 0.2500 0.6109
9 Si 0.1599 0.2500 0.8122
10 Si 0.1741 0.2500 0.4225
11 Si 0.3259 0.7500 0.9225
12 Si 0.3401 0.7500 0.3122
13 Si 0.6599 0.2500 0.6878
14 Si 0.6741 0.2500 0.0775
15 Si 0.8259 0.7500 0.5775
16 Si 0.8401 0.7500 0.1878

=====

12.
This record from OQMD describes an optimized crystal structure of PmSmFe. The functional is PBE.

Output
Distance to the lowest polymorph of the same formula: 0.00 eV per formula unit
Energy of formation from the pure elements: 0.2563 eV per atom

Cell lengths 4.7758, 4.7758, 4.7758 Å; angles 60.00, 60.00, 60.00 degrees
Atoms (fractional coordinates):
1 Pm 0.0000 0.0000 0.0000
2 Sm 0.5000 0.5000 0.5000
3 Fe 0.2500 0.2500 0.2500